(1)
Here is a geometry-optimized Ho3MgTl4 structure from Alexandria via LeMat-Bulk. Energies are from GGA-PBE.

Cell: 10.144 10.144 10.144 Å, 160.23 140.68 44.38°
Fractional positions:
Ho: 0.000 0.000 0.000
Ho: 0.270 0.770 0.500
Ho: 0.730 0.230 0.500
Mg: 0.500 0.500 0.000
Tl: 0.112 0.377 0.735
Tl: 0.358 0.623 0.735
Tl: 0.642 0.377 0.265
Tl: 0.888 0.623 0.265

Magnetic moment (μB per cell): 0.000
Energy of formation (eV per atom): -0.1711
E above lowest polymorph (meV per atom): 104.2


(2)
Here is a geometry-optimized RhPb2Se structure from Alexandria via LeMat-Bulk. Energies are from GGA-PBE.

Cell: 4.856 4.526 4.859 Å, 90.00 109.55 90.00°
Fractional positions:
Rh: 0.000 0.000 0.000
Pb: 0.402 0.000 0.598
Pb: 0.769 0.500 0.230
Se: 0.141 0.500 0.857

Magnetic moment (μB per cell): 0.000
Formation energy without anion corrections (eV/atom): -0.119


(3)
Here is a geometry-optimized NaCdBiPd structure from Alexandria via LeMat-Bulk. Energies are from GGA-PBE.

Cell: 4.784 4.784 5.667 Å, 114.72 114.72 59.84°
Fractional positions:
Na: 0.000 0.000 0.000
Cd: 0.220 0.220 0.663
Bi: 0.783 0.783 0.348
Pd: 0.502 0.502 0.505

Magnetic moment (μB per cell): 0.000
Energy of formation (eV per atom): -0.2003
E above lowest polymorph (meV per atom): 4.0


(4)
Here is a geometry-optimized Pm2TlBi structure from Alexandria via LeMat-Bulk. Energies are from GGA-PBE.

Cell: 8.484 8.484 8.484 Å, 29.81 29.81 29.81°
Fractional positions:
Pm: 0.246 0.246 0.246
Pm: 0.754 0.754 0.754
Tl: 0.000 0.000 0.000
Bi: 0.500 0.500 0.500

Magnetic moment (μB per cell): 0.000
Energy of formation (eV per atom): -0.5560
E above lowest polymorph (meV per atom): 77.6


(5)
Here is a geometry-optimized CeScSi2Tc structure from Alexandria via LeMat-Bulk. Energies are from GGA-PBE.

Cell: 6.409 6.409 6.409 Å, 143.13 143.13 53.14°
Fractional positions:
Ce: 0.000 0.000 0.000
Sc: 0.250 0.750 0.500
Si: 0.396 0.396 0.000
Si: 0.604 0.604 0.000
Tc: 0.750 0.250 0.500

Magnetic moment (μB per cell): 0.502
Formation energy without anion corrections (eV/atom): -0.654


(6)
Here is a geometry-optimized Pa2ZnCoN5 structure from Alexandria via LeMat-Bulk. Energies are from GGA-PBE.

Cell: 7.388 7.388 8.652 Å, 90.00 90.00 154.05°
Fractional positions:
Pa: 0.125 0.875 0.500
Pa: 0.134 0.866 0.050
Pa: 0.866 0.134 0.550
Pa: 0.875 0.125 0.000
Zn: 0.479 0.521 0.273
Zn: 0.521 0.479 0.773
Co: 0.230 0.770 0.772
Co: 0.770 0.230 0.272
N: 0.096 0.904 0.782
N: 0.278 0.722 0.412
N: 0.285 0.715 0.130
N: 0.371 0.629 0.751
N: 0.489 0.511 0.021
N: 0.511 0.489 0.521
N: 0.629 0.371 0.251
N: 0.715 0.285 0.630
N: 0.722 0.278 0.912
N: 0.904 0.096 0.282

Magnetic moment (μB per cell): 0.000
Formation energy without anion corrections (eV/atom): -0.775


Question: Number 5 is which compound?
Answer: CeScSi2Tc